[1]
Density functional theory data (GGA-PBE) for a relaxed KBaUI6 crystal.

Values from the calculation:
Formation energy from raw total energies in meV per atom: -1275
Energy in eV per atom: -3.899

Cell lengths 8.5524, 8.5524, 15.1634 Å; angles 90.00, 90.00, 120.00 degrees
Space group P-31c (No. 163)
Symmetry-distinct sites (fractional):
K  0.0000  0.0000  0.0000 [2 per cell]
Ba  0.3333  0.6667  0.2500 [2 per cell]
U  0.3333  0.6667  0.7500 [2 per cell]
I  0.0296  0.3719  0.6294 [12 per cell]

[2]
Density functional theory data (GGA-PBE) for a relaxed Tb4Y2Sc5 crystal.

Values from the calculation:
Calculated formation energy in meV/atom: 55
Energy in eV per atom: -5.682
E above lowest polymorph in kJ/mol of formula units: 0

Cell lengths 21.156, 3.574, 8.636 Å; angles 90.00, 104.81, 90.00 degrees
Space group C2/m (No. 12)
Symmetry-distinct sites (fractional):
Tb  0.030  0.000  0.214 [4 per cell]
Tb  0.177  0.500  0.412 [4 per cell]
Y  0.117  0.500  0.991 [4 per cell]
Sc  0.000  0.500  0.500 [2 per cell]
Sc  0.118  0.000  0.671 [4 per cell]
Sc  0.246  0.500  0.833 [4 per cell]

[3]
Density functional theory data (GGA-PBE) for a relaxed BaNbCo2Sb crystal.

Values from the calculation:
Formation energy from raw total energies in meV per atom: 2223
Energy in eV per atom: -3.843

Cell lengths 4.626, 4.626, 6.002 Å; angles 90.00, 90.00, 90.00 degrees
Space group P4/mmm (No. 123)
Symmetry-distinct sites (fractional):
Ba  0.000  0.000  0.000 [1 per cell]
Nb  0.500  0.500  0.500 [1 per cell]
Co  0.000  0.500  0.000 [2 per cell]
Sb  0.000  0.000  0.500 [1 per cell]

[4]
Density functional theory data (GGA-PBE) for a relaxed Na2SrAsO crystal.

Values from the calculation:
Formation energy from raw total energies in meV per atom: -1133
Energy in eV per atom: -3.918

Cell lengths 6.628, 6.628, 9.912 Å; angles 90.00, 90.00, 90.00 degrees
Space group I4/mcm (No. 140)
Symmetry-distinct sites (fractional):
Na  0.232  0.268  0.000 [8 per cell]
Sr  0.000  0.000  0.250 [4 per cell]
As  0.000  0.500  0.250 [4 per cell]
O  0.000  0.000  0.000 [4 per cell]

[5]
Density functional theory data (GGA-PBE) for a relaxed CeHo2Fe2 crystal.

Values from the calculation:
Calculated formation energy in meV/atom: -60
Energy in eV per atom: -6.462

Cell lengths 10.117, 6.009, 7.001 Å; angles 90.00, 96.78, 90.00 degrees
Space group C2/c (No. 15)
Symmetry-distinct sites (fractional):
Ce  0.000  0.095  0.250 [4 per cell]
Ho  0.154  0.385  0.650 [8 per cell]
Fe  0.154  0.163  0.025 [8 per cell]

[6]
Density functional theory data (GGA-PBE) for a relaxed ReOs3 crystal.

Values from the calculation:
Calculated formation energy in meV/atom: 89
Energy in eV per atom: -11.446
E above lowest polymorph in kJ/mol of formula units: 66

Cell lengths 2.737, 2.737, 15.473 Å; angles 90.00, 90.00, 90.00 degrees
Space group P4/mmm (No. 123)
Symmetry-distinct sites (fractional):
Re  0.000  0.000  0.126 [2 per cell]
Os  0.000  0.000  0.376 [2 per cell]
Os  0.500  0.500  0.000 [1 per cell]
Os  0.500  0.500  0.252 [2 per cell]
Os  0.500  0.500  0.500 [1 per cell]

[7]
Density functional theory data (GGA-PBE) for a relaxed K2CaSb crystal.

Values from the calculation:
Formation energy from raw total energies in meV per atom: -424
Energy in eV per atom: -2.504

Cell lengths 4.618, 4.312, 10.445 Å; angles 90.00, 102.64, 90.00 degrees
Space group Pm (No. 6)
Symmetry-distinct sites (fractional):
K  0.000  0.000  0.000 [1 per cell]
K  0.311  0.500  0.630 [1 per cell]
Ca  0.651  0.500  0.311 [1 per cell]
Sb  0.167  0.000  0.344 [1 per cell]

[8]
Density functional theory data (GGA-PBE) for a relaxed BaCaGe3 crystal.

Values from the calculation:
Calculated formation energy in meV/atom: -542
Energy in eV per atom: -4.097
E above lowest polymorph in kJ/mol of formula units: 0

Cell lengths 4.748, 27.824, 4.194 Å; angles 90.00, 90.00, 90.00 degrees
Space group Cmcm (No. 63)
Symmetry-distinct sites (fractional):
Ba  0.000  0.078  0.250 [4 per cell]
Ca  0.000  0.204  0.750 [4 per cell]
Ge  0.000  0.315  0.750 [4 per cell]
Ge  0.000  0.371  0.250 [4 per cell]
Ge  0.000  0.474  0.250 [4 per cell]

[9]
Density functional theory data (GGA-PBE) for a relaxed ErBiRu crystal.

Values from the calculation:
Calculated formation energy in meV/atom: -218
Energy in eV per atom: -6.125

Cell lengths 3.367, 3.367, 12.016 Å; angles 90.00, 90.00, 90.00 degrees
Space group I4mm (No. 107)
Symmetry-distinct sites (fractional):
Er  0.000  0.000  0.000 [2 per cell]
Bi  0.000  0.000  0.720 [2 per cell]
Ru  0.000  0.000  0.358 [2 per cell]

[10]
Density functional theory data (GGA-PBE) for a relaxed ZrTiPd2 crystal.

Values from the calculation:
Calculated formation energy in meV/atom: -560
Energy in eV per atom: -7.267
E above lowest polymorph in kJ/mol of formula units: 3

Cell lengths 4.692, 5.802, 5.061 Å; angles 90.00, 90.00, 90.00 degrees
Space group Pmmn (No. 59, origin choice 2)
Symmetry-distinct sites (fractional):
Zr  0.250  0.250  0.190 [2 per cell]
Ti  0.250  0.750  0.227 [2 per cell]
Pd  0.250  0.002  0.685 [4 per cell]

[11]
Density functional theory data (GGA-PBE) for a relaxed Pm7Nd3Dy crystal.

Values from the calculation:
Calculated formation energy in meV/atom: 233
Energy in eV per atom: -4.508
E above lowest polymorph in kJ/mol of formula units: 7

Cell lengths 12.884, 11.382, 5.971 Å; angles 90.00, 117.55, 90.00 degrees
Space group C2/m (No. 12)
Symmetry-distinct sites (fractional):
Pm  0.000  0.000  0.000 [2 per cell]
Pm  0.199  0.296  0.699 [8 per cell]
Pm  0.209  0.500  0.208 [4 per cell]
Nd  0.000  0.290  0.000 [4 per cell]
Nd  0.000  0.500  0.500 [2 per cell]
Dy  0.000  0.000  0.500 [2 per cell]

[12]
Density functional theory data (GGA-PBE) for a relaxed LuNiAgAu crystal.

Values from the calculation:
Calculated formation energy in meV/atom: -359
Energy in eV per atom: -4.467

Cell lengths 6.609, 6.609, 6.609 Å; angles 90.00, 90.00, 90.00 degrees
Space group F-43m (No. 216)
Symmetry-distinct sites (fractional):
Lu  0.000  0.000  0.000 [4 per cell]
Ni  0.250  0.250  0.750 [4 per cell]
Ag  0.000  0.000  0.500 [4 per cell]
Au  0.250  0.250  0.250 [4 per cell]